DFT (PBE) results for an optimized crystal structure of Tb3TePbS.

Structure (CIF):
```
data_Tb3TePbS
_chemical_formula_sum 'Tb6 Te2 Pb2 S2'
_symmetry_space_group_name_H-M 'P 1'
_symmetry_Int_Tables_number 1
_cell_length_a 4.277
_cell_length_b 8.947
_cell_length_c 10.268
_cell_angle_alpha 92.58
_cell_angle_beta 90.00
_cell_angle_gamma 90.00
loop_
_symmetry_equiv_pos_as_xyz
'x,y,z'
loop_
_atom_site_label
_atom_site_type_symbol
_atom_site_fract_x
_atom_site_fract_y
_atom_site_fract_z
Tb1 Tb 0.250 0.857 0.579
Tb2 Tb 0.750 0.872 0.139
Tb3 Tb 0.750 0.381 0.118
Tb4 Tb 0.750 0.143 0.421
Tb5 Tb 0.250 0.619 0.882
Tb6 Tb 0.250 0.128 0.861
Te1 Te 0.250 0.624 0.179
Te2 Te 0.750 0.376 0.821
Pb1 Pb 0.750 0.863 0.818
Pb2 Pb 0.250 0.137 0.182
S1 S 0.250 0.154 0.582
S2 S 0.750 0.846 0.418
```

Properties
electronic total energy = -5.2593 eV/atom
ΔE_f (raw) = -1.115 eV per atom
space-group type = P2_1/m, No. 11